A plane-wave DFT calculation with PBE-GGA was carried out for an optimized crystal structure of HoCdInTe3.

* total DFT energy (no corrections): -0.27115 Ry/atom
* excess energy over the best structure of this formula in the dataset: 0.000 eV/atom

```
data_HoCdInTe3
_symmetry_space_group_name_H-M 'P n m a'
_symmetry_Int_Tables_number 62
_symmetry_space_group_name_Hall '-P 2ac 2n'
_cell_length_a 11.607
_cell_length_b 4.444
_cell_length_c 15.167
_cell_angle_alpha 90.00
_cell_angle_beta 90.00
_cell_angle_gamma 90.00
loop_
_atom_site_label
_atom_site_fract_x
_atom_site_fract_y
_atom_site_fract_z
_atom_site_occupancy
Ho1 0.014 0.250 0.247 1
Cd1 0.239 0.250 0.717 1
In1 0.229 0.750 0.511 1
Te1 0.036 0.250 0.615 1
Te2 0.064 0.750 0.109 1
Te3 0.237 0.750 0.836 1
```

=====

A plane-wave DFT calculation with PBE-GGA was carried out for an optimized crystal structure of Nd4InFe2Ge4.

* total DFT energy (no corrections): -0.42531 Ry/atom

```
data_Nd4InFe2Ge4
_symmetry_space_group_name_H-M 'C 1 2/m 1'
_symmetry_Int_Tables_number 12
_symmetry_space_group_name_Hall '-C 2y'
_cell_length_a 16.018
_cell_length_b 4.387
_cell_length_c 7.269
_cell_angle_alpha 90.00
_cell_angle_beta 107.42
_cell_angle_gamma 90.00
loop_
_atom_site_label
_atom_site_fract_x
_atom_site_fract_y
_atom_site_fract_z
_atom_site_occupancy
Nd1 0.090 0.000 0.381 1
Nd2 0.153 0.000 0.942 1
In1 0.000 0.500 0.000 1
Fe1 0.217 0.500 0.637 1
Ge1 0.068 0.500 0.656 1
Ge2 0.213 0.500 0.286 1
```

=====

A plane-wave DFT calculation with PBE-GGA was carried out for an optimized crystal structure of LaGdCo2Si4.

* total DFT energy (no corrections): -0.47374 Ry/atom

```
data_LaGdCo2Si4
_symmetry_space_group_name_H-M 'A m m 2'
_symmetry_Int_Tables_number 38
_symmetry_space_group_name_Hall 'A 2 -2'
_cell_length_a 4.042
_cell_length_b 4.145
_cell_length_c 16.400
_cell_angle_alpha 90.00
_cell_angle_beta 90.00
_cell_angle_gamma 90.00
loop_
_atom_site_label
_atom_site_fract_x
_atom_site_fract_y
_atom_site_fract_z
_atom_site_occupancy
La1 0.000 0.000 0.000 1
Gd1 0.500 0.000 0.784 1
Co1 0.000 0.000 0.213 1
Co2 0.500 0.000 0.574 1
Si1 0.000 0.000 0.348 1
Si2 0.000 0.000 0.645 1
Si3 0.500 0.000 0.145 1
Si4 0.500 0.000 0.434 1
```